<a>
CuNF2 | meta-GGA SCAN | single point on PBEsol structure

Lattice parameters (Å, degrees): 6.663 6.663 6.663 23.00 23.00 23.00
Fractional positions:
Cu 0.000 0.000 0.000
N 0.500 0.500 0.500
F 0.409 0.409 0.409
F 0.591 0.591 0.591

## Properties
* Fermi-level density of states: 2.24 states/eV/f.u.
* crystal system: trigonal
* density: 4.84 g/cm3



<b>
CuNF2 | meta-GGA SCAN | single point on PBEsol structure

Lattice parameters (Å, degrees): 3.761 3.761 3.761 60.00 60.00 60.00
Fractional positions:
Cu 0.000 0.000 0.000
N 0.500 0.500 0.500
F 0.250 0.250 0.250
F 0.750 0.750 0.750

## Properties
* Fermi-level density of states: 4.83 states/eV/f.u.
* crystal system: cubic
* density: 5.10 g/cm3



Quick one: least stable of them? <a>



<a>
CuS2NF | meta-GGA SCAN | single point on PBEsol structure

Lattice parameters (Å, degrees): 4.568 4.568 3.505 90.00 90.00 90.00
Fractional positions:
Cu 0.000 0.000 0.000
S 0.000 0.500 0.000
S 0.500 0.000 0.000
N 0.000 0.000 0.500
F 0.500 0.500 0.500

## Properties
* Fermi-level density of states: 2.23 states/eV/f.u.
* crystal system: tetragonal
* density: 3.65 g/cm3



<b>
CuS2NF | meta-GGA SCAN | single point on PBEsol structure

Lattice parameters (Å, degrees): 4.000 4.000 3.905 90.00 90.00 90.00
Fractional positions:
Cu 0.000 0.000 0.000
S 0.000 0.500 0.500
S 0.500 0.000 0.500
N 0.000 0.000 0.500
F 0.500 0.500 0.000

## Properties
* Fermi-level density of states: 2.83 states/eV/f.u.
* crystal system: tetragonal
* density: 4.27 g/cm3



Quick one: least stable of them? <a>



<a>
CuOs3F | meta-GGA SCAN | single point on PBEsol structure

Lattice parameters (Å, degrees): 4.124 4.124 4.124 90.00 90.00 90.00
Fractional positions:
Cu 0.000 0.000 0.000
Os 0.000 0.500 0.500
Os 0.500 0.000 0.500
Os 0.500 0.500 0.000
F 0.500 0.500 0.500

## Properties
* Fermi-level density of states: 5.21 states/eV/f.u.
* crystal system: cubic
* density: 15.47 g/cm3



<b>
CuOs3F | meta-GGA SCAN | single point on PBEsol structure

Lattice parameters (Å, degrees): 4.443 4.443 4.443 90.00 90.00 90.00
Fractional positions:
Cu 0.000 0.000 0.000
Os 0.000 0.000 0.500
Os 0.000 0.500 0.000
Os 0.500 0.000 0.000
F 0.500 0.500 0.500

## Properties
* Fermi-level density of states: 7.16 states/eV/f.u.
* crystal system: cubic
* density: 12.37 g/cm3



Quick one: least stable of them? <b>



<a>
FeCuIr2 | meta-GGA SCAN | single point on PBEsol structure

Lattice parameters (Å, degrees): 2.623 2.623 8.810 90.00 90.00 119.11
Fractional positions:
Fe 0.000 0.000 0.000
Cu 0.500 0.500 0.235
Ir 0.000 0.000 0.487
Ir 0.500 0.500 0.757

## Properties
* Fermi-level density of states: 4.72 states/eV/f.u.
* crystal system: orthorhombic
* density: 15.80 g/cm3



<b>
FeCuIr2 | meta-GGA SCAN | single point on PBEsol structure

Lattice parameters (Å, degrees): 4.585 4.585 4.441 99.90 99.90 33.91
Fractional positions:
Fe 0.000 0.000 0.000
Cu 0.752 0.752 0.240
Ir 0.252 0.252 0.745
Ir 0.505 0.505 0.503

## Properties
* Fermi-level density of states: 4.01 states/eV/f.u.
* crystal system: monoclinic
* density: 16.33 g/cm3



<c>
FeCuIr2 | meta-GGA SCAN | single point on PBEsol structure

Lattice parameters (Å, degrees): 4.474 4.474 4.620 100.21 100.21 34.63
Fractional positions:
Fe 0.000 0.000 0.000
Cu 0.500 0.500 0.500
Ir 0.256 0.256 0.753
Ir 0.744 0.744 0.247

## Properties
* Fermi-level density of states: 3.35 states/eV/f.u.
* crystal system: monoclinic
* density: 16.20 g/cm3



<d>
FeCuIr2 | meta-GGA SCAN | single point on PBEsol structure

Lattice parameters (Å, degrees): 4.204 4.204 4.204 60.00 60.00 60.00
Fractional positions:
Fe 0.000 0.000 0.000
Cu 0.750 0.750 0.750
Ir 0.250 0.250 0.250
Ir 0.500 0.500 0.500

## Properties
* Fermi-level density of states: 4.59 states/eV/f.u.
* crystal system: cubic
* density: 15.92 g/cm3



Quick one: least stable of them? <a>



<a>
LiFeCu | meta-GGA SCAN | single point on PBEsol structure

Lattice parameters (Å, degrees): 4.091 4.091 2.367 90.00 90.00 120.00
Fractional positions:
Li 0.000 0.000 0.000
Fe 0.667 0.333 0.647
Cu 0.333 0.667 0.223

## Properties
* Fermi-level density of states: 0.62 states/eV/f.u.
* crystal system: trigonal
* density: 6.11 g/cm3



<b>
LiFeCu | meta-GGA SCAN | single point on PBEsol structure

Lattice parameters (Å, degrees): 3.905 3.905 3.905 60.00 60.00 60.00
Fractional positions:
Li 0.000 0.000 0.000
Fe 0.500 0.500 0.500
Cu 0.750 0.750 0.750

## Properties
* Fermi-level density of states: 3.51 states/eV/f.u.
* crystal system: cubic
* density: 4.98 g/cm3



Quick one: least stable of them? <b>



<a>
Li2FeCuO4 | meta-GGA SCAN | single point on PBEsol structure

Lattice parameters (Å, degrees): 5.016 5.016 5.016 132.71 132.71 69.11
Fractional positions:
Li 0.000 0.000 0.000
Li 0.750 0.250 0.500
Fe 0.500 0.500 0.000
Cu 0.250 0.750 0.500
O 0.009 0.509 0.500
O 0.278 0.278 0.000
O 0.491 0.991 0.500
O 0.722 0.722 0.000

## Properties
* Fermi-level density of states: 1.60 states/eV/f.u.
* crystal system: tetragonal
* density: 4.90 g/cm3



<b>
Li2FeCuO4 | meta-GGA SCAN | single point on PBEsol structure

Lattice parameters (Å, degrees): 5.158 2.747 5.483 90.00 117.50 90.00
Fractional positions:
Li 0.000 0.000 0.000
Li 0.500 0.500 0.500
Fe 0.000 0.000 0.500
Cu 0.500 0.500 0.000
O 0.051 0.500 0.288
O 0.406 0.000 0.731
O 0.594 0.000 0.269
O 0.949 0.500 0.712

## Properties
* Fermi-level density of states: 2.17 states/eV/f.u.
* crystal system: monoclinic
* density: 4.75 g/cm3



Quick one: least stable of them? <a>



<a>
FeCuMo | meta-GGA SCAN | single point on PBEsol structure

Lattice parameters (Å, degrees): 4.462 4.462 4.462 146.99 129.66 61.52
Fractional positions:
Fe 0.000 0.000 0.000
Cu 0.660 0.660 0.000
Mo 0.329 0.329 0.000

## Properties
* Fermi-level density of states: 1.83 states/eV/f.u.
* crystal system: orthorhombic
* density: 9.70 g/cm3



<b>
FeCuMo | meta-GGA SCAN | single point on PBEsol structure

Lattice parameters (Å, degrees): 3.942 3.942 3.942 60.00 60.00 60.00
Fractional positions:
Fe 0.000 0.000 0.000
Cu 0.250 0.250 0.250
Mo 0.500 0.500 0.500

## Properties
* Fermi-level density of states: 2.16 states/eV/f.u.
* crystal system: cubic
* density: 8.26 g/cm3



Quick one: least stable of them? <b>



<a>
FeCuNi | meta-GGA SCAN | single point on PBEsol structure

Lattice parameters (Å, degrees): 4.303 4.303 4.303 146.48 131.44 60.30
Fractional positions:
Fe 0.000 0.000 0.000
Cu 0.669 0.669 0.000
Ni 0.337 0.337 0.000

## Properties
* Fermi-level density of states: 1.34 states/eV/f.u.
* crystal system: orthorhombic
* density: 9.05 g/cm3



<b>
FeCuNi | meta-GGA SCAN | single point on PBEsol structure

Lattice parameters (Å, degrees): 2.478 2.478 6.153 90.00 90.00 120.00
Fractional positions:
Fe 0.000 0.000 0.000
Cu 0.667 0.333 0.343
Ni 0.333 0.667 0.678

## Properties
* Fermi-level density of states: 1.77 states/eV/f.u.
* crystal system: trigonal
* density: 9.04 g/cm3



Quick one: least stable of them? <b>